Density functional theory data (GGA-PBE) for a relaxed structure of PmDy2Co6.

```
data_PmDy2Co6
_cell_length_a 4.085
_cell_length_b 6.683
_cell_length_c 6.683
_cell_angle_alpha 120.00
_cell_angle_beta 90.00
_cell_angle_gamma 90.00
_space_group_name_H-M_alt 'P 1'
_space_group_IT_number 1
loop_
_space_group_symop_operation_xyz
'x,y,z'
loop_
_atom_site_label
_atom_site_type_symbol
_atom_site_fract_x
_atom_site_fract_y
_atom_site_fract_z
Pm1 Pm 0.000 0.000 0.000
Dy1 Dy 0.000 0.333 0.667
Dy2 Dy 0.000 0.667 0.333
Co1 Co 0.500 0.335 0.335
Co2 Co 0.500 0.665 0.665
Co3 Co 0.500 0.000 0.665
Co4 Co 0.500 0.665 0.000
Co5 Co 0.500 0.335 0.000
Co6 Co 0.500 0.000 0.335
```

Summary:
Density of states at the Fermi level ... 6.9 states/eV/cell
Symmetry ... P6/mmm
Energy of formation ... -0.15 eV/atom